Record 1
Entry from Alexandria via LeMat-Bulk: an optimized crystal structure of Tc2BiTeMo (PBE).

Output
Crystal system = tetragonal
Space group = P4/mmm
Energy relative to the lowest polymorph listed for this composition = 0 meV per atom
Formation energy without anion corrections = 1.38 eV/atom
Total magnetic moment = 2.87 μB per formula unit
Uncorrected energy = -6.33 eV per atom

POSCAR file:
```
Tc2BiTeMo
1.0
-4.413 -1.799 -0.597
2.096 -4.373 -2.308
0.287 -2.129 4.295
Bi Tc Mo Te
1 2 1 1
Direct
0.000 0.500 0.000 Bi
0.500 0.000 0.000 Tc
0.000 0.000 0.500 Tc
0.000 0.000 0.000 Mo
0.500 0.500 0.500 Te
```

Record 2
Entry from Alexandria via LeMat-Bulk: an optimized crystal structure of LiErGa4 (PBE).

Output
Crystal system = cubic
Space group = F-43m
Total magnetic moment = 0.00 μB per formula unit
Uncorrected energy = -3.44 eV per atom

POSCAR file:
```
LiErGa4
1.0
-5.299 1.114 0.473
-3.530 -3.989 1.082
-2.406 -0.253 4.867
Li Ga Er
1 4 1
Direct
0.000 0.000 0.000 Li
0.625 0.625 0.125 Ga
0.625 0.625 0.625 Ga
0.625 0.125 0.625 Ga
0.125 0.625 0.625 Ga
0.250 0.250 0.250 Er
```

Record 3
Entry from Alexandria via LeMat-Bulk: an optimized crystal structure of NbAlW (PBE).

Output
Crystal system = tetragonal
Space group = I4mm
Energy relative to the lowest polymorph listed for this composition = 123 meV per atom
Total magnetic moment = 0.00 μB per formula unit
Uncorrected energy = -8.34 eV per atom

POSCAR file:
```
NbAlW
1.0
2.694 0.000 0.000
0.000 2.694 0.000
-1.347 -1.347 7.467
Al Nb W
1 1 1
Direct
0.435 0.435 0.870 Al
0.616 0.616 0.233 Nb
0.798 0.798 0.597 W
```